# GaNi2Pd

A relaxed structure of GaNi2Pd (PBE, the Alexandria database).

* D(E_F): 1.86 states/eV/f.u.
* magnetization: 0.000 μB/atom
* formation energy: -232.1 meV per atom

The structure in CIF format:
```
data_GaNi2Pd
_chemical_formula_sum 'Ga1 Ni2 Pd1'
_space_group_name_H-M_alt 'P 4/m m m'
_space_group_IT_number 123
_space_group_name_Hall '-P 4 2'
_cell_length_a 2.823
_cell_length_b 2.823
_cell_length_c 6.393
_cell_angle_alpha 90.00
_cell_angle_beta 90.00
_cell_angle_gamma 90.00
loop_
_atom_site_label
_atom_site_type_symbol
_atom_site_fract_x
_atom_site_fract_y
_atom_site_fract_z
_atom_site_occupancy
Ga1 Ga 0.000 0.000 0.000 1
Ni1 Ni 0.500 0.500 0.226 1
Pd1 Pd 0.000 0.000 0.500 1
```